Entry from OQMD: AgBi2S3F after structural relaxation (PBE).

POSCAR file:
```
AgBi2S3F
1.0
-7.3561 0.9610 1.6420
-0.8556 0.0535 -3.8645
1.5531 -10.4576 -0.4886
S Bi F Ag
6 4 2 2
direct
0.9682 0.7500 0.8521
0.2204 0.2500 0.6758
0.0318 0.2500 0.1479
0.3086 0.7500 0.4182
0.6914 0.2500 0.5818
0.7796 0.7500 0.3242
0.7857 0.7500 0.0497
0.2143 0.2500 0.9503
0.5203 0.2500 0.3326
0.4797 0.7500 0.6674
0.3883 0.7500 0.0702
0.6117 0.2500 0.9298
0.9484 0.7500 0.5913
0.0516 0.2500 0.4087
```

## Properties
calculated total energy	-4.239	eV per atom
space group	P2_1/m, No. 11

---

Entry from OQMD: AgBiSbF after structural relaxation (PBE).

POSCAR file:
```
AgBiSbF
1.0
1.7339 4.0958 0.3235
-3.2721 1.5279 -2.6164
-4.7769 1.4820 6.8394
F Bi Sb Ag
2 2 2 2
direct
0.7500 0.7500 0.5000
0.2500 0.2500 0.5000
0.2500 0.2500 0.0000
0.7500 0.7500 0.0000
0.2500 0.7500 0.6848
0.7500 0.2500 0.3152
0.2500 0.7500 0.2861
0.7500 0.2500 0.7139
```

## Properties
energy above the lowest structure with this stoichiometry	0.348	eV/atom
space group	Cmme, No. 67

---

Entry from OQMD: AgBiSbF after structural relaxation (PBE).

POSCAR file:
```
AgBiSbF
1.0
-0.5842 3.9275 -0.9264
-0.1084 0.9204 3.9707
10.1440 1.4927 -0.0692
Ag Sb F Bi
2 2 2 2
direct
0.2500 0.7500 0.0000
0.7500 0.2500 0.0000
0.7500 0.7500 0.2072
0.2500 0.2500 0.7928
0.2500 0.7500 0.5000
0.7500 0.2500 0.5000
0.2500 0.2500 0.3417
0.7500 0.7500 0.6583
```

## Properties
energy above the lowest structure with this stoichiometry	0.015	eV/atom
space group	P4/nmm, No. 129

---

Entry from OQMD: AgBiSbF after structural relaxation (PBE).

POSCAR file:
```
AgBiSbF
1.0
2.2531 -6.5044 0.0000
2.2531 6.5044 0.0000
0.0000 0.0000 6.2629
Bi Ag Sb F
2 2 2 2
direct
0.5862 0.4138 0.7500
0.4138 0.5862 0.2500
0.0000 0.0000 0.0000
0.0000 0.0000 0.5000
0.8222 0.1778 0.7500
0.1778 0.8222 0.2500
0.6916 0.3084 0.2500
0.3084 0.6916 0.7500
```

## Properties
energy above the lowest structure with this stoichiometry	0.103	eV/atom
space group	Cmcm, No. 63

---

Entry from OQMD: AgBiSbF after structural relaxation (PBE).

POSCAR file:
```
AgBiSbF
1.0
-2.1409 -7.6495 5.0740
-0.2799 -11.0000 -16.7015
4.1933 -0.8492 0.4890
Sb Ag Bi F
8 8 8 8
direct
0.7533 0.7521 0.0000
0.3100 0.0128 0.0000
0.1900 0.5128 0.0000
0.2533 0.7479 0.0000
0.8100 0.4872 0.0000
0.6900 0.9872 0.0000
0.7467 0.2521 0.0000
0.2467 0.2479 0.0000
0.0647 0.9400 0.0000
0.8406 0.6230 0.0000
0.9353 0.0600 0.0000
0.6594 0.1230 0.0000
0.1594 0.3770 0.0000
0.4353 0.4400 0.0000
0.3406 0.8770 0.0000
0.5647 0.5600 0.0000
0.2619 0.6059 0.5000
0.7381 0.3941 0.5000
0.7619 0.8941 0.5000
0.4651 0.2603 0.5000
0.2381 0.1059 0.5000
0.9651 0.2397 0.5000
0.5349 0.7397 0.5000
0.0349 0.7603 0.5000
0.9719 0.1212 0.5000
0.9780 0.3595 0.5000
0.5220 0.8595 0.5000
0.4780 0.1405 0.5000
0.0281 0.8788 0.5000
0.0220 0.6405 0.5000
0.4719 0.3788 0.5000
0.5281 0.6212 0.5000
```

## Properties
energy above the lowest structure with this stoichiometry	0.101	eV/atom
space group	Pbam, No. 55

---

Entry from OQMD: AgBiSbF after structural relaxation (PBE).

POSCAR file:
```
AgBiSbF
1.0
-6.5070 -6.0012 -4.8533
3.6865 -12.9156 11.0277
-3.0672 1.2821 2.5270
Sb Bi F Ag
8 8 8 8
direct
0.7681 0.6333 0.5000
0.9512 0.9225 0.5000
0.2319 0.3667 0.5000
0.2681 0.8667 0.5000
0.0488 0.0775 0.5000
0.7319 0.1333 0.5000
0.5488 0.4225 0.5000
0.4512 0.5775 0.5000
0.0308 0.7215 0.5000
0.3444 0.0472 0.5000
0.8444 0.4528 0.5000
0.5308 0.7785 0.5000
0.6556 0.9528 0.5000
0.1556 0.5472 0.5000
0.9692 0.2785 0.5000
0.4692 0.2215 0.5000
0.1917 0.6323 0.0000
0.6398 0.0156 0.0000
0.1398 0.4844 0.0000
0.8602 0.5156 0.0000
0.6917 0.8677 0.0000
0.3083 0.1323 0.0000
0.3602 0.9844 0.0000
0.8083 0.3677 0.0000
0.5729 0.6548 0.0000
0.8241 0.7465 0.0000
0.6759 0.2465 0.0000
0.4271 0.3452 0.0000
0.9271 0.1548 0.0000
0.1759 0.2535 0.0000
0.3241 0.7535 0.0000
0.0729 0.8452 0.0000
```

## Properties
energy above the lowest structure with this stoichiometry	0.063	eV/atom
space group	Pbam, No. 55

---

Entry from OQMD: AgBiSbF after structural relaxation (PBE).

POSCAR file:
```
AgBiSbF
1.0
3.9064 0.0000 0.0000
0.0000 3.9064 0.0000
0.0000 0.0000 11.1253
Ag Sb F Bi
2 2 2 2
direct
0.5000 0.0000 0.7202
0.0000 0.5000 0.2798
0.0000 0.5000 0.5568
0.5000 0.0000 0.4432
0.5000 0.5000 0.0000
0.0000 0.0000 0.0000
0.0000 0.5000 0.8469
0.5000 0.0000 0.1531
```

## Properties
energy above the lowest structure with this stoichiometry	0.103	eV/atom
space group	P4/nmm, No. 129

---

Entry from OQMD: AgBiSbF after structural relaxation (PBE).

POSCAR file:
```
AgBiSbF
1.0
-0.5467 -3.6895 -5.4650
6.6505 -0.9618 -0.0160
-0.9776 -6.8383 4.7145
F Sb Ag Bi
4 4 4 4
direct
0.0250 0.2924 0.1627
0.4750 0.7076 0.6627
0.9750 0.7924 0.3373
0.5250 0.2076 0.8373
0.9779 0.9462 0.7137
0.5221 0.0538 0.2137
0.4779 0.5538 0.2863
0.0221 0.4462 0.7863
0.2142 0.0957 0.9741
0.7142 0.4043 0.0259
0.7858 0.5957 0.5259
0.2858 0.9043 0.4741
0.3736 0.6945 0.9276
0.6264 0.1945 0.5724
0.1264 0.3055 0.4276
0.8736 0.8055 0.0724
```

## Properties
energy above the lowest structure with this stoichiometry	0.154	eV/atom
space group	P2_12_12_1, No. 19

---

Entry from OQMD: AgBiSbF after structural relaxation (PBE).

POSCAR file:
```
AgBiSbF
1.0
2.1732 1.2547 11.1441
-2.1732 1.2547 11.1441
0.0000 -2.5094 11.1441
F Ag Bi Sb
2 2 2 2
direct
0.3083 0.3083 0.3083
0.6917 0.6917 0.6917
0.1886 0.1886 0.1886
0.8114 0.8114 0.8114
0.6146 0.6146 0.6146
0.3854 0.3854 0.3854
0.1027 0.1027 0.1027
0.8973 0.8973 0.8973
```

## Properties
energy above the lowest structure with this stoichiometry	0.000	eV/atom
space group	R-3m, No. 166

---

Entry from OQMD: AgBiSbF after structural relaxation (PBE).

POSCAR file:
```
AgBiSbF
1.0
2.0778 1.1996 12.1078
-2.0778 1.1996 12.1078
0.0000 -2.3992 12.1078
Sb Ag F Bi
2 2 2 2
direct
0.9175 0.9175 0.9175
0.0825 0.0825 0.0825
0.3729 0.3729 0.3729
0.6271 0.6271 0.6271
0.3090 0.3090 0.3090
0.6910 0.6910 0.6910
0.2000 0.2000 0.2000
0.8000 0.8000 0.8000
```

## Properties
energy above the lowest structure with this stoichiometry	0.174	eV/atom
space group	R-3m, No. 166

---

Entry from OQMD: AgBiSbF after structural relaxation (PBE).

POSCAR file:
```
AgBiSbF
1.0
6.8794 0.0000 0.0000
0.0000 7.3217 0.0000
0.0000 0.0000 7.4699
Bi Ag Sb F
4 4 4 4
direct
0.8048 0.9640 0.2586
0.1952 0.4640 0.2414
0.3048 0.5360 0.7414
0.6952 0.0360 0.7586
0.2537 0.0057 0.3439
0.7537 0.4943 0.6561
0.2463 0.9943 0.8439
0.7463 0.5057 0.1561
0.9364 0.7110 0.9034
0.4364 0.7890 0.0966
0.5636 0.2890 0.4034
0.0636 0.2110 0.5966
0.6808 0.8262 0.5199
0.3192 0.3262 0.9801
0.1808 0.6738 0.4801
0.8192 0.1738 0.0199
```

## Properties
energy above the lowest structure with this stoichiometry	0.089	eV/atom
space group	P2_12_12_1, No. 19

---

Entry from OQMD: AgBi2Te3F after structural relaxation (PBE).

POSCAR file:
```
AgBi2Te3F
1.0
8.5137 0.0000 0.0000
0.0000 4.2330 0.0000
-3.8348 0.0000 11.0824
Bi Ag F Te
4 2 2 6
direct
0.0071 0.2500 0.3303
0.2739 0.7500 0.0337
0.9929 0.7500 0.6697
0.7261 0.2500 0.9663
0.5354 0.2500 0.4194
0.4646 0.7500 0.5806
0.1304 0.2500 0.9460
0.8696 0.7500 0.0540
0.4639 0.7500 0.8453
0.2074 0.2500 0.5867
0.7266 0.2500 0.6851
0.7926 0.7500 0.4133
0.5361 0.2500 0.1547
0.2734 0.7500 0.3149
```

## Properties
calculated total energy	-3.682	eV per atom
space group	P2_1/m, No. 11